Entry 1:
First-principles (PBE) data for TaBiSb after structural relaxation, as listed in the Open Quantum Materials Database.

## Properties
- Space group: F-43m, No. 216
- E above lowest polymorph: 0.00 eV/f.u.

Structure (POSCAR):
```
TaBiSb
1.0
6.9298 0.0000 0.0000
0.0000 6.9298 0.0000
0.0000 0.0000 6.9298
Ta Bi Sb
4 4 4
Cartesian
0.0000 0.0000 0.0000
0.0000 3.4649 3.4649
3.4649 0.0000 3.4649
3.4649 3.4649 0.0000
1.7325 1.7325 5.1974
1.7325 5.1974 1.7325
5.1974 1.7325 1.7325
5.1974 5.1974 5.1974
1.7325 1.7325 1.7325
1.7325 5.1974 5.1974
5.1974 1.7325 5.1974
5.1974 5.1974 1.7325
```


Entry 2:
First-principles (PBE) data for RbErTe3Au after structural relaxation, as listed in the Open Quantum Materials Database.

## Properties
- Space group: Cmcm, No. 63
- Final energy: -47.374 eV per cell

Structure (POSCAR):
```
RbErTe3Au
1.0
2.1179 -8.5224 0.0000
2.1179 8.5224 0.0000
0.0000 0.0000 11.2413
Rb Er Te Au
2 2 6 2
Cartesian
2.1179 4.3783 8.4310
2.1179 -4.3783 2.8103
0.0000 0.0000 0.0000
0.0000 0.0000 5.6207
2.1179 7.2652 2.8103
2.1179 2.1494 0.5333
2.1179 2.1494 5.0873
2.1179 -2.1494 6.1540
2.1179 -2.1494 10.7080
2.1179 -7.2652 8.4310
2.1179 0.5919 2.8103
2.1179 -0.5919 8.4310
```


Entry 3:
First-principles (PBE) data for LiYAsAu after structural relaxation, as listed in the Open Quantum Materials Database.

## Properties
- Space group: F-43m, No. 216
- E above lowest polymorph: 1.52 eV/f.u.

Structure (POSCAR):
```
LiYAsAu
1.0
6.7801 0.0000 0.0000
0.0000 6.7801 0.0000
0.0000 0.0000 6.7801
Li Y As Au
4 4 4 4
Cartesian
0.0000 0.0000 0.0000
0.0000 3.3901 3.3901
3.3901 0.0000 3.3901
3.3901 3.3901 0.0000
1.6950 1.6950 1.6950
1.6950 5.0851 5.0851
5.0851 1.6950 5.0851
5.0851 5.0851 1.6950
0.0000 0.0000 3.3901
0.0000 3.3901 0.0000
3.3901 0.0000 0.0000
3.3901 3.3901 3.3901
1.6950 1.6950 5.0851
1.6950 5.0851 1.6950
5.0851 1.6950 1.6950
5.0851 5.0851 5.0851
```


Entry 4:
First-principles (PBE) data for Cs4Ag2SbP after structural relaxation, as listed in the Open Quantum Materials Database.

## Properties
- Space group: Amm2, No. 38
- Final energy: -42.788 eV per cell

Structure (POSCAR):
```
Cs4Ag2SbP
1.0
6.8225 0.0000 0.0000
0.0000 11.4142 0.0000
0.0000 0.0000 8.2336
Cs Ag Sb P
8 4 2 2
Cartesian
0.0000 1.8796 0.0000
0.0000 3.8275 4.1168
0.0000 7.5867 4.1168
0.0000 9.5346 0.0000
3.4112 1.9846 2.4912
3.4112 3.7225 6.6080
3.4112 7.6917 6.6080
3.4112 9.4296 2.4912
1.8738 0.0000 5.5382
1.8738 5.7071 1.4214
4.9487 0.0000 5.5382
4.9487 5.7071 1.4214
0.0000 0.0000 3.5492
0.0000 5.7071 7.6660
3.4112 0.0000 7.4475
3.4112 5.7071 3.3308
```


Entry 5:
First-principles (PBE) data for ZnS after structural relaxation, as listed in the Open Quantum Materials Database.

## Properties
- Space group: Pmmn, No. 59
- Final energy: -13.087 eV per cell

Structure (POSCAR):
```
ZnS
1.0
3.9134 0.0000 0.0000
0.0000 4.0035 0.0000
0.0000 0.0000 5.4728
Zn S
2 2
Cartesian
0.9784 1.0009 0.0217
2.9351 3.0026 5.4511
0.9784 3.0026 1.3589
2.9351 1.0009 4.1139
```


Entry 6:
First-principles (PBE) data for Nd3In3GePd2 after structural relaxation, as listed in the Open Quantum Materials Database.

## Properties
- Space group: P-62m, No. 189
- E above lowest polymorph: 1.83 eV/f.u.

Structure (POSCAR):
```
Nd3In3GePd2
1.0
7.8589 0.0000 0.0000
-3.9294 6.8060 0.0000
0.0000 0.0000 4.3187
Nd In Ge Pd
3 3 1 2
Cartesian
-2.8560 4.9468 0.0000
1.0734 1.8592 0.0000
5.7121 0.0000 0.0000
-1.6093 2.7874 2.1593
3.2186 0.0000 2.1593
2.3202 4.0186 2.1593
0.0000 0.0000 2.1593
0.0000 4.5373 0.0000
3.9294 2.2687 0.0000
```


Entry 7:
First-principles (PBE) data for FeHgPd2 after structural relaxation, as listed in the Open Quantum Materials Database.

## Properties
- Space group: F-43m, No. 216
- Final energy: -74.608 eV per cell

Structure (POSCAR):
```
FeHgPd2
1.0
6.3552 0.0000 0.0000
0.0000 6.3552 0.0000
0.0000 0.0000 6.3552
Fe Hg Pd
4 4 8
Cartesian
0.0000 0.0000 0.0000
0.0000 3.1776 3.1776
3.1776 0.0000 3.1776
3.1776 3.1776 0.0000
1.5888 1.5888 4.7664
1.5888 4.7664 1.5888
4.7664 1.5888 1.5888
4.7664 4.7664 4.7664
0.0000 0.0000 3.1776
0.0000 3.1776 0.0000
1.5888 1.5888 1.5888
1.5888 4.7664 4.7664
3.1776 0.0000 0.0000
3.1776 3.1776 3.1776
4.7664 1.5888 4.7664
4.7664 4.7664 1.5888
```


Entry 8:
First-principles (PBE) data for PuBeZn after structural relaxation, as listed in the Open Quantum Materials Database.

## Properties
- Space group: F-43m, No. 216
- Final energy: -66.413 eV per cell

Structure (POSCAR):
```
PuBeZn
1.0
6.5296 0.0000 0.0000
0.0000 6.5296 0.0000
0.0000 0.0000 6.5296
Pu Be Zn
4 4 4
Cartesian
0.0000 0.0000 0.0000
0.0000 3.2648 3.2648
3.2648 0.0000 3.2648
3.2648 3.2648 0.0000
1.6324 1.6324 1.6324
1.6324 4.8972 4.8972
4.8972 1.6324 4.8972
4.8972 4.8972 1.6324
1.6324 1.6324 4.8972
1.6324 4.8972 1.6324
4.8972 1.6324 1.6324
4.8972 4.8972 4.8972
```


Entry 9:
First-principles (PBE) data for LuZrAlCo after structural relaxation, as listed in the Open Quantum Materials Database.

## Properties
- Space group: F-43m, No. 216
- E above lowest polymorph: 0.00 eV/f.u.

Structure (POSCAR):
```
LuZrAlCo
1.0
6.6026 0.0000 0.0000
0.0000 6.6026 0.0000
0.0000 0.0000 6.6026
Lu Zr Al Co
4 4 4 4
Cartesian
0.0000 0.0000 0.0000
0.0000 3.3013 3.3013
3.3013 0.0000 3.3013
3.3013 3.3013 0.0000
1.6507 1.6507 4.9520
1.6507 4.9520 1.6507
4.9520 1.6507 1.6507
4.9520 4.9520 4.9520
1.6507 1.6507 1.6507
1.6507 4.9520 4.9520
4.9520 1.6507 4.9520
4.9520 4.9520 1.6507
0.0000 0.0000 3.3013
0.0000 3.3013 0.0000
3.3013 0.0000 0.0000
3.3013 3.3013 3.3013
```


Entry 10:
First-principles (PBE) data for NaErCdTe3 after structural relaxation, as listed in the Open Quantum Materials Database.

## Properties
- Space group: Pnma, No. 62
- E above lowest polymorph: 0.47 eV/f.u.

Structure (POSCAR):
```
NaErCdTe3
1.0
8.6342 0.0000 0.0000
0.0000 4.5000 0.0000
0.0000 0.0000 18.7260
Na Er Cd Te
4 4 4 12
Cartesian
0.5085 1.1250 3.7006
3.8086 3.3750 13.0636
4.8256 1.1250 5.6624
8.1257 3.3750 15.0254
1.9841 1.1250 18.0054
2.3330 3.3750 8.6424
6.3012 1.1250 10.0836
6.6502 3.3750 0.7206
0.5881 1.1250 12.4317
3.7290 3.3750 3.0687
4.9053 1.1250 15.6573
8.0461 3.3750 6.2943
0.0681 1.1250 7.9733
1.0862 3.3750 1.2012
1.9747 1.1250 14.8576
2.3424 3.3750 5.4946
3.2309 1.1250 10.5642
4.2490 3.3750 17.3363
4.3852 1.1250 1.3897
5.4034 3.3750 8.1618
6.2919 1.1250 13.2314
6.6595 3.3750 3.8684
7.5480 1.1250 17.5248
8.5662 3.3750 10.7527
```


Entry 11:
First-principles (PBE) data for BaScAgTe3 after structural relaxation, as listed in the Open Quantum Materials Database.

## Properties
- Space group: C2/m, No. 12
- Final energy: -54.224 eV per cell

Structure (POSCAR):
```
BaScAgTe3
1.0
9.6819 -2.2042 0.0000
9.6819 2.2042 0.0000
-1.8174 0.0000 9.0200
Ba Sc Ag Te
2 2 2 6
Cartesian
2.4752 0.0000 0.6558
15.0713 0.0000 8.3642
2.1321 0.0000 5.2459
15.4144 0.0000 3.7741
8.5647 0.0000 2.6369
8.9818 0.0000 6.3831
-0.9087 0.0000 4.5100
5.8335 0.0000 1.7866
5.1070 0.0000 5.6497
9.6819 0.0000 0.0000
12.4395 0.0000 3.3702
11.7130 0.0000 7.2334
```


Entry 12:
First-principles (PBE) data for DySbIr after structural relaxation, as listed in the Open Quantum Materials Database.

## Properties
- Space group: P-62m, No. 189
- Final energy: -60.591 eV per cell

Structure (POSCAR):
```
DySbIr
1.0
7.4351 0.0000 0.0000
-3.7176 6.4390 0.0000
0.0000 0.0000 3.9925
Dy Sb Ir
3 3 3
Cartesian
-2.2292 3.8611 0.0000
1.4883 2.5779 0.0000
4.4585 0.0000 0.0000
-0.9853 1.7065 1.9963
1.9705 0.0000 1.9963
2.7323 4.7325 1.9963
0.0000 0.0000 0.0000
0.0000 4.2927 1.9963
3.7176 2.1463 1.9963
```